Here is a relaxed structure of CsCuSe2Br from the Alexandria database. Energies are from PBE.

## Properties
Formation energy from raw total energies ... -0.35 eV/atom
Volume ... 150.76 Å³ per cell

Cell and atoms, written as CIF:
```
data_CsCuSe2Br
_chemical_formula_sum 'Cs1 Cu1 Se2 Br1'
_cell_length_a 4.833
_cell_length_b 4.833
_cell_length_c 6.454
_cell_angle_alpha 90.00
_cell_angle_beta 90.00
_cell_angle_gamma 90.00
_space_group_name_H-M_alt 'P 1'
_space_group_IT_number 1
loop_
_space_group_symop_operation_xyz
'x,y,z'
loop_
_atom_site_label
_atom_site_type_symbol
_atom_site_fract_x
_atom_site_fract_y
_atom_site_fract_z
Cs1 Cs 0.500 0.500 0.500
Cu1 Cu 0.000 0.000 0.000
Se1 Se 0.000 0.500 0.000
Se2 Se 0.500 0.000 0.000
Br1 Br 0.000 0.000 0.500
```